Density functional theory data (PBE) for a relaxed structure of Mn8ReOs3.

As for the formation energy from the elements: -3 kJ per mole of atoms.

abc: 4.6661 4.6661 7.5958
angles: 90.00 90.00 120.00
Closest atoms and distances in Å follow each position.
Space group P3m1 (No. 156)
One atom of each set of equivalent atoms:
Mn1 0.0000 0.0000 0.0000 x1  6 Mn 2.36-2.37
Mn2 0.0000 0.0000 0.4997 x1  6 Mn 2.35-2.37
Mn3 0.1743 0.3487 0.2514 x3  6 Mn 2.23-2.44
Mn4 0.3484 0.1742 0.7503 x3  6 Mn 2.23-2.44
Re1 0.6667 0.3333 0.0678 x1  12 Mn 2.72-2.74, 4 Os 2.75-2.89
Os1 0.3333 0.6667 0.5688 x1  12 Mn 2.71-2.74, 4 Os 2.75-2.89
Os2 0.3333 0.6667 0.9312 x1  12 Mn 2.71-2.75, 1 Os 2.75, 3 Re 2.89
Os3 0.6667 0.3333 0.4302 x1  12 Mn 2.70-2.75, 1 Re 2.75, 3 Os 2.89